No. 1
A plane-wave DFT calculation with PBE was carried out for a relaxed structure of Al3BN.

a b c (Å): 3.895 3.895 3.895
angles (deg): 90.00 90.00 90.00
Sites, in units of the cell vectors:
Al (0.000, 0.000, 0.500)
Al (0.000, 0.500, 0.000)
Al (0.500, 0.000, 0.000)
N (0.000, 0.000, 0.000)
B (0.500, 0.500, 0.500)

Summary:
Uncorrected energy, eV/f.u.: -24.3
Size of the total moment, μB/atom: 0.00
Formation energy (no corrections), eV/atom: 0.39
Energy relative to the lowest polymorph listed for this composition, kJ/mol of formula units: 0
DOS(E_F), states/eV/f.u.: 1.57

=====

No. 2
A plane-wave DFT calculation with PBE was carried out for a relaxed structure of RhAu4Cl.

a b c (Å): 5.518 5.518 5.518
angles (deg): 60.00 60.00 60.00
Each line ends with the local moment (μB).
Sites, in units of the cell vectors:
Au (0.375, 0.876, 0.375)  0.04
Au (0.375, 0.375, 0.876)  0.04
Au (0.375, 0.375, 0.375)  0.04
Au (0.876, 0.375, 0.375)  0.04
Cl (0.750, 0.750, 0.750)  0.08
Rh (0.000, 0.000, 0.000)  1.33

Summary:
Uncorrected energy, eV/f.u.: -19.4
Size of the total moment, μB/atom: 0.28
Formation energy (no corrections), eV/atom: 0.48
DOS(E_F), states/eV/f.u.: 9.10